## RbUHgF6 (PBE)

Data for RbUHgF6 after structural relaxation.

- raw formation energy (eV per atom) = -3.034
- total magnetic moment (μB per formula unit) = 1.000
- calculated density (kg/m3) = 4887

Unit cell a=6.7571 b=6.7179 c=5.6171 alpha=85.18 beta=87.01 gamma=58.58
Each line ends with the local moment (μB).
Positions (direct):
F 0.4773 0.1337 0.1674  -0.02
F 0.2254 0.1198 0.6217  -0.02
F 0.0156 0.5421 0.2884  -0.02
Rb 0.9866 0.9614 0.0026  0.00
F 0.6671 0.1449 0.6089  -0.02
Hg 0.6795 0.6215 0.8160  0.00
U 0.3341 0.3402 0.4592  1.07
F 0.2050 0.5548 0.7467  -0.02
F 0.4093 0.5816 0.2891  -0.02